VASP calculation (PBE-GGA) on an optimized crystal structure of La2DyPd4.

Results
- formation energy from the elements (eV/atom) = -0.610
- final energy (eV/atom) = -5.643
- total moment (Bohr magnetons per cell) = 0.00
- ρ (g/cm³) = 8.0
- space group = C2/m (12)

a b c (Å): 8.963 5.766 7.963
angles (deg): 90.00 118.95 90.00
Positions (direct):
La 0.223 0.000 0.328
La 0.277 0.500 0.672
La 0.723 0.500 0.328
La 0.777 0.000 0.672
Dy 0.000 0.500 0.000
Dy 0.500 0.000 0.000
Pd 0.153 0.000 0.660
Pd 0.250 0.250 0.000
Pd 0.250 0.750 0.000
Pd 0.347 0.500 0.340
Pd 0.653 0.500 0.660
Pd 0.750 0.250 0.000
Pd 0.750 0.750 0.000
Pd 0.847 0.000 0.340